1.
DFT (PBE) results for PuSb3Au8 after structural relaxation.

Output
theoretical density	13.8	Mg/m³
calculated total energy	-4.527	eV/atom
crystal system	triclinic
ΔE_f (raw)	-1.4	eV/f.u.
energy above the most stable polymorph in this dataset	0.000	eV per atom

Structure (POSCAR):
```
PuSb3Au8
1.0
5.5686 0.0000 0.0000
2.5311 4.9801 0.0000
0.6148 0.0491 9.5076
Pu Sb Au
1 3 8
direct
0.0000 0.0000 0.0000
0.0429 0.9855 0.6340
0.5109 0.4321 0.3964
0.6409 0.6410 0.0163
0.0136 0.5384 0.7817
0.0641 0.9160 0.3276
0.3548 0.3380 0.0070
0.4705 0.9875 0.7723
0.5322 0.9975 0.2465
0.5518 0.4389 0.6979
0.7650 0.7185 0.5109
0.9836 0.4390 0.2445
```

=====

2.
DFT (PBE) results for KSrFe2 after structural relaxation.

Output
theoretical density	3.6	Mg/m³
calculated total energy	-3.743	eV/atom
crystal system	tetragonal
energy above the most stable polymorph in this dataset	0.583	eV per atom
calculated formation energy	1.183	eV/atom

Structure (POSCAR):
```
KSrFe2
1.0
5.0080 0.0000 0.0000
0.0000 5.0080 0.0000
0.0000 0.0000 4.3736
K Sr Fe
1 1 2
direct
0.0000 0.0000 0.0000
0.5000 0.5000 0.0000
0.0000 0.5000 0.5000
0.5000 0.0000 0.5000
```

=====

3.
DFT (PBE) results for TaMn2Au2 after structural relaxation.

Output
theoretical density	13.6	Mg/m³
calculated total energy	-7.148	eV/atom
crystal system	tetragonal
calculated formation energy	0.202	eV/atom

Structure (POSCAR):
```
TaMn2Au2
1.0
7.3030 0.0000 0.0000
0.0000 7.3030 0.0000
0.0000 0.0000 3.1267
Ta Mn Au
2 4 4
direct
0.0000 0.0000 0.0000
0.5000 0.5000 0.0000
0.1490 0.3510 0.0000
0.3510 0.8510 0.0000
0.6490 0.1490 0.0000
0.8510 0.6490 0.0000
0.1499 0.6499 0.5000
0.3501 0.1499 0.5000
0.6499 0.8501 0.5000
0.8501 0.3501 0.5000
```

=====

4.
DFT (PBE) results for Pr2CdBr after structural relaxation.

Output
theoretical density	6.5	Mg/m³
calculated total energy	-3.664	eV/atom
crystal system	trigonal
ΔE_f (raw)	-2.5	eV/f.u.
energy above the most stable polymorph in this dataset	0.048	eV per atom

Structure (POSCAR):
```
Pr2CdBr
1.0
3.7835 0.0000 0.0000
-1.8918 3.2766 0.0000
0.0000 0.0000 29.2095
Pr Cd Br
6 3 3
direct
0.0000 0.0000 0.0000
0.0000 0.0000 0.1707
0.3333 0.6667 0.6667
0.3333 0.6667 0.8374
0.6667 0.3333 0.3333
0.6667 0.3333 0.5040
0.0000 0.0000 0.7519
0.3333 0.6667 0.4186
0.6667 0.3333 0.0852
0.0000 0.0000 0.5859
0.3333 0.6667 0.2526
0.6667 0.3333 0.9192
```

=====

5.
DFT (PBE) results for AcPr2In after structural relaxation.

Output
theoretical density	7.5	Mg/m³
calculated total energy	-4.330	eV/atom
crystal system	tetragonal
energy above the most stable polymorph in this dataset	0.003	eV per atom
calculated formation energy	-0.229	eV/atom

Structure (POSCAR):
```
AcPr2In
1.0
3.8216 0.0000 0.0000
0.0000 3.8216 0.0000
0.0000 0.0000 9.4903
Ac Pr In
1 2 1
direct
0.0000 0.0000 0.0000
0.5000 0.5000 0.2829
0.5000 0.5000 0.7171
0.0000 0.0000 0.5000
```

=====

6.
DFT (PBE) results for Zr7Co2Rh2 after structural relaxation.

Output
theoretical density	7.6	Mg/m³
calculated total energy	-8.432	eV/atom
crystal system	orthorhombic
calculated formation energy	-0.364	eV/atom

Structure (POSCAR):
```
Zr7Co2Rh2
1.0
-1.6176 7.1455 4.5770
1.6176 -7.1455 4.5770
1.6176 7.1455 -4.5770
Zr Co Rh
7 2 2
direct
0.0000 0.0000 0.0000
0.0199 0.3472 0.6727
0.0680 0.7174 0.3506
0.3668 0.7174 0.6494
0.4257 0.5451 0.8806
0.6645 0.5451 0.1194
0.6744 0.3472 0.3273
0.2739 0.0341 0.2398
0.7943 0.0341 0.7602
0.3035 0.3035 0.0000
0.7241 0.2241 0.5000
```

=====

7.
DFT (PBE) results for TbY2HfAs4 after structural relaxation.

Output
theoretical density	7.2	Mg/m³
calculated total energy	-7.171	eV/atom
crystal system	monoclinic
calculated formation energy	-1.407	eV/atom

Structure (POSCAR):
```
TbY2HfAs4
1.0
7.0023 0.0000 0.0000
0.0000 4.0394 0.0000
-2.3100 0.0000 6.6103
Tb Y Hf As
1 2 1 4
direct
0.0000 0.0000 0.0000
0.0000 0.5000 0.5000
0.5000 0.0000 0.5000
0.5000 0.5000 0.0000
0.2575 0.5000 0.2435
0.2633 0.0000 0.7628
0.7367 0.0000 0.2372
0.7425 0.5000 0.7565
```

=====

8.
DFT (PBE) results for TiGa2BiAu after structural relaxation.

Output
theoretical density	7.3	Mg/m³
calculated total energy	-3.759	eV/atom
crystal system	tetragonal
calculated formation energy	0.462	eV/atom

Structure (POSCAR):
```
TiGa2BiAu
1.0
5.0165 0.0000 0.0000
0.0000 5.0165 0.0000
0.0000 0.0000 5.3378
Ti Ga Bi Au
1 2 1 1
direct
0.0000 0.0000 0.0000
0.0000 0.5000 0.0000
0.5000 0.0000 0.0000
0.0000 0.0000 0.5000
0.5000 0.5000 0.5000
```